Record 1
The following is a DFT calculation (PBE-GGA) of a geometry-optimized HoTmGeRh structure.

density = 9.76 g cm⁻³
energy of formation = -881 meV per atom
calculated volume = 86.6 Å³/cell
DOS at the Fermi energy = 2.8 states/eV/f.u.
final energy = -0.2255 hartree per atom

POSCAR file:
```
HoTmGeRh
1.0
4.122 0.000 0.000
0.000 1.991 5.277
0.000 -1.991 5.277
Ho Tm Ge Rh
1 1 1 1
Cartesian
0.000 0.000 0.000 Ho
2.061 0.000 2.961 Tm
0.000 0.000 7.558 Ge
2.061 0.000 5.891 Rh
```

***

Record 2
The following is a DFT calculation (PBE-GGA) of a geometry-optimized NpZn2CuO8 structure.

E_form (uncorrected) = -1.29 eV/atom
density = 6.42 g cm⁻³
calculated volume = 144.8 Å³/cell
DOS at the Fermi energy = 8.8 states/eV/f.u.
final energy = -0.2288 hartree per atom

POSCAR file:
```
NpZn2CuO8
1.0
4.747 0.000 0.000
0.377 4.740 0.000
0.616 0.566 6.435
Np Zn Cu O
1 2 1 8
Cartesian
0.000 0.000 0.000 Np
2.576 2.381 1.714 Zn
3.164 2.924 4.721 Zn
0.308 0.283 3.217 Cu
1.074 0.980 1.702 O
1.592 1.451 5.094 O
1.939 3.648 3.220 O
1.699 3.285 0.002 O
4.040 2.020 6.433 O
3.801 1.657 3.215 O
4.147 3.854 1.341 O
4.666 4.326 4.733 O
```

***

Record 3
The following is a DFT calculation (PBE-GGA) of a geometry-optimized Mg3Pt12W structure.

density = 17.33 g cm⁻³
energy of formation = -539 meV per atom
calculated volume = 249.0 Å³/cell
DOS at the Fermi energy = 13.2 states/eV/f.u.
final energy = -0.2270 hartree per atom

POSCAR file:
```
Mg3Pt12W
1.0
3.960 0.000 0.000
0.000 3.960 0.000
0.000 0.000 15.880
Mg Pt W
3 12 1
Cartesian
0.000 0.000 0.000 Mg
0.000 0.000 3.917 Mg
0.000 0.000 11.963 Mg
0.000 1.980 1.979 Pt
0.000 1.980 6.014 Pt
0.000 1.980 9.866 Pt
0.000 1.980 13.901 Pt
1.980 0.000 1.979 Pt
1.980 0.000 6.014 Pt
1.980 0.000 9.866 Pt
1.980 0.000 13.901 Pt
1.980 1.980 0.000 Pt
1.980 1.980 3.987 Pt
1.980 1.980 7.940 Pt
1.980 1.980 11.893 Pt
0.000 0.000 7.940 W
```

***

Record 4
The following is a DFT calculation (PBE-GGA) of a geometry-optimized GeAsAu3 structure.

density = 10.18 g cm⁻³
energy of formation = 530 meV per atom
calculated volume = 120.4 Å³/cell
DOS at the Fermi energy = 2.6 states/eV/f.u.
final energy = -0.1209 hartree per atom

POSCAR file:
```
GeAsAu3
1.0
4.938 0.000 0.000
0.000 4.938 0.000
0.000 0.000 4.938
Ge As Au
1 1 3
Cartesian
0.000 0.000 0.000 Ge
2.469 2.469 2.469 As
0.000 2.469 2.469 Au
2.469 0.000 2.469 Au
2.469 2.469 0.000 Au
```

***

Record 5
The following is a DFT calculation (PBE-GGA) of a geometry-optimized NaAs2SeF structure.

E_form (uncorrected) = -0.06 eV/atom
density = 4.27 g cm⁻³
calculated volume = 105.3 Å³/cell
DOS at the Fermi energy = 2.8 states/eV/f.u.
final energy = -0.1195 hartree per atom

POSCAR file:
```
NaAs2SeF
1.0
4.414 0.000 0.000
0.000 4.414 0.000
0.000 0.000 5.403
Na As Se F
1 2 1 1
Cartesian
0.000 0.000 0.000 Na
0.000 2.207 2.702 As
2.207 0.000 2.702 As
2.207 2.207 0.000 Se
2.207 2.207 2.702 F
```

***

Record 6
The following is a DFT calculation (PBE-GGA) of a geometry-optimized HfVNi structure.

density = 10.35 g cm⁻³
energy of formation = -125 meV per atom
calculated volume = 46.2 Å³/cell
DOS at the Fermi energy = 1.9 states/eV/f.u.
final energy = -0.3091 hartree per atom

POSCAR file:
```
HfVNi
1.0
-1.489 1.489 5.207
1.489 -1.489 5.207
1.489 1.489 -5.207
Hf V Ni
1 1 1
Cartesian
0.000 0.000 0.000 Hf
0.000 0.000 7.169 V
0.000 0.000 3.226 Ni
```

***

Record 7
The following is a DFT calculation (PBE-GGA) of a geometry-optimized NaSnAu2 structure.

density = 10.57 g cm⁻³
energy of formation = -194 meV per atom
calculated volume = 84.2 Å³/cell
DOS at the Fermi energy = 1.0 states/eV/f.u.
final energy = -0.1162 hartree per atom

POSCAR file:
```
NaSnAu2
1.0
3.667 0.000 0.000
0.000 3.667 0.000
0.000 0.000 6.260
Na Sn Au
1 1 2
Cartesian
0.000 0.000 0.000 Na
0.000 0.000 3.130 Sn
1.833 1.833 1.528 Au
1.833 1.833 4.732 Au
```

***

Record 8
The following is a DFT calculation (PBE-GGA) of a geometry-optimized LiLa2GaH structure.

density = 4.93 g cm⁻³
calculated volume = 119.8 Å³/cell
DOS at the Fermi energy = 5.1 states/eV/f.u.
final energy = -0.1479 hartree per atom

POSCAR file:
```
LiLa2GaH
1.0
5.375 0.000 0.000
0.000 5.375 0.000
0.000 0.000 4.144
Li La Ga H
1 2 1 1
Cartesian
0.000 0.000 0.000 Li
0.000 2.688 2.072 La
2.688 0.000 2.072 La
2.688 2.688 0.000 Ga
0.000 0.000 2.072 H
```

***

Number 5 is which compound? NaAs2SeF

***

Which formula does entry 4 have? GeAsAu3